{"formula": "ScV3Ru", "functional": "PBE-GGA", "state": "optimized geometry", "vol_a3_per_fu": 97.6, "n_ef_per_ev_fu": 7.17, "formation_enthalpy_0k_ev_per_atom": 0.710, "cell": [[4.6041, 0.0000, 0.0000], [0.0000, 4.6041, 0.0000], [0.0000, 0.0000, 4.6041]], "species": ["Sc", "V", "V", "V", "Ru"], "frac_coords": [[0.0000, 0.0000, 0.0000], [0.0000, 0.5000, 0.5000], [0.5000, 0.0000, 0.5000], [0.5000, 0.5000, 0.0000], [0.5000, 0.5000, 0.5000]]}